VASP calculation (GGA-PBE) on InPb5Au6 after structural relaxation.

```
InPb5Au6
1.0
-0.6302 1.8359 -7.0370
6.2338 0.2166 4.1151
-1.3633 -7.5662 -0.3740
Au Pb In
6 5 1
Direct
0.1611 0.3685 0.3345
0.8389 0.6315 0.6655
0.4784 0.1781 0.0000
0.8266 0.0340 0.6655
0.1734 0.9660 0.3345
0.5216 0.8219 0.0000
0.6373 0.6373 0.2746
0.3041 0.8041 0.6082
0.6959 0.1959 0.3918
0.0000 0.5000 0.0000
0.3627 0.3627 0.7254
0.0000 0.0000 0.0000
```

VASP energy	-3.48	eV/atom
total moment	0.0	μB per cell
D(E_F)	5.24	states/eV per cell
energy of formation from the pure elements	-0.068	eV/atom

VASP calculation (GGA-PBE) on MgZnSe2O8 after structural relaxation.

```
MgZnSe2O8
1.0
-1.6429 2.1941 -5.0638
4.9963 -2.8615 0.0657
-4.0457 -3.8265 1.4651
Se O Zn Mg
2 8 1 1
Direct
0.7500 0.2500 0.5000
0.5000 0.5000 0.0000
0.3215 0.1367 0.8152
0.7520 0.0686 0.6834
0.8633 0.6785 0.1848
0.3215 0.5063 0.1848
0.3852 0.0686 0.3166
0.9314 0.6148 0.6834
0.4937 0.6785 0.8152
0.9314 0.2480 0.3166
0.0000 0.0000 0.0000
0.2500 0.7500 0.5000
```

VASP energy	-5.16	eV/atom
total moment	0.0	μB per cell
D(E_F)	0.00	states/eV per cell
raw formation energy	-1.039	eV per atom

VASP calculation (GGA-PBE) on Ce6GeSb3 after structural relaxation.

```
Ce6GeSb3
1.0
-0.8410 6.7983 2.5940
-8.3054 -0.3072 -1.8876
-1.9918 -3.7544 9.3749
Sb Ce Ge
6 12 2
Direct
0.5601 0.8740 0.7476
0.9399 0.3740 0.7524
0.5000 0.5000 0.0000
0.0000 0.0000 0.5000
0.4399 0.1260 0.2524
0.0601 0.6260 0.2476
0.8087 0.9318 0.2416
0.8577 0.6853 0.9358
0.1913 0.0682 0.7584
0.8410 0.6683 0.5625
0.6913 0.4318 0.2584
0.3577 0.8147 0.4358
0.1590 0.3317 0.4375
0.1423 0.3147 0.0642
0.3410 0.8317 0.0625
0.6423 0.1853 0.5642
0.3087 0.5682 0.7416
0.6590 0.1683 0.9375
0.5000 0.5000 0.5000
0.0000 0.0000 0.0000
```

VASP energy	-5.88	eV/atom
total moment	19.8	μB per cell
D(E_F)	74.71	states/eV per cell
raw formation energy	-0.626	eV per atom

VASP calculation (GGA-PBE) on SbPd4Au5 after structural relaxation.

```
SbPd4Au5
1.0
-2.2521 -2.6111 2.4926
-1.4997 -3.9287 -5.4705
7.0069 -0.2124 2.4772
Au Pd Sb
5 4 1
Direct
0.1943 0.1284 0.3886
0.5000 0.5000 0.0000
0.1586 0.6917 0.3171
0.8057 0.8716 0.6114
0.8414 0.3083 0.6829
0.9820 0.7622 0.9640
0.6733 0.4061 0.3467
0.3267 0.5939 0.6533
0.0180 0.2378 0.0360
0.5000 0.0000 0.0000
```

VASP energy	-4.23	eV/atom
total moment	0.0	μB per cell
D(E_F)	3.75	states/eV per cell
raw formation energy	-0.099	eV per atom

VASP calculation (GGA-PBE) on ZrTiNbV after structural relaxation.

```
ZrTiNbV
1.0
-4.4717 0.1565 1.3277
-1.2288 -1.5079 4.2427
-1.3616 3.0524 3.2577
Ti Zr V Nb
1 1 1 1
Direct
0.5000 0.5000 0.5000
0.7500 0.7500 0.7500
0.0000 0.0000 0.0000
0.2500 0.2500 0.2500
```

VASP energy	-8.79	eV/atom
total moment	0.6	μB per cell
D(E_F)	6.52	states/eV per cell
energy of formation from the pure elements	0.119	eV/atom

VASP calculation (GGA-PBE) on BaLaMgAg after structural relaxation.

```
BaLaMgAg
1.0
5.7366 0.0000 0.0000
2.8683 4.9681 0.0000
2.8683 1.6560 4.6839
La Ag Mg Ba
1 1 1 1
Direct
0.0000 0.0000 0.0000
0.7500 0.7500 0.7500
0.2500 0.2500 0.2500
0.5000 0.5000 0.5000
```

VASP energy	-2.87	eV/atom
total moment	0.0	μB per cell
D(E_F)	3.71	states/eV per cell
energy of formation from the pure elements	-0.045	eV/atom

VASP calculation (GGA-PBE) on YFeRe after structural relaxation.

```
YFeRe
1.0
3.9420 0.0000 0.0000
-1.9710 3.4138 0.0000
0.0000 0.0000 4.4192
Fe Re Y
1 1 1
Direct
0.0000 0.0000 0.1757
0.6667 0.3333 0.1590
0.3333 0.6667 0.6653
```

VASP energy	-9.02	eV/atom
total moment	0.0	μB per cell
D(E_F)	2.25	states/eV per cell
energy above the most stable polymorph in this dataset	195	meV/atom
energy of formation from the pure elements	0.106	eV/atom

VASP calculation (GGA-PBE) on HgOs2Pb after structural relaxation.

```
HgOs2Pb
1.0
3.0286 0.0000 0.0000
0.0000 5.1598 0.0000
0.0000 0.0000 4.7314
Pb Os Hg
1 2 1
Direct
0.5000 0.0000 0.5000
0.0000 0.0000 0.0000
0.5000 0.5000 0.0000
0.0000 0.5000 0.5000
```

VASP energy	-5.45	eV/atom
total moment	0.0	μB per cell
D(E_F)	3.78	states/eV per cell
energy above the most stable polymorph in this dataset	653	meV/atom
energy of formation from the pure elements	1.170	eV/atom